Material: La2ReSe
Method: DFT, PBE
State: optimized geometry

a b c (Å): 3.322 3.322 9.161
angles (deg): 90.00 90.00 90.00
Element x y z (fractional)
1 La 0.000 0.000 0.933
2 La 0.500 0.500 0.321
3 Se 0.500 0.500 0.688
4 Re 0.000 0.000 0.558

Output
**Energy relative to the elements, uncorrected**: 46 meV per atom